## one
{
  "formula": "Li4SbPd",
  "functional": "PBE",
  "state": "relaxed",
  "magmom_total_mub_per_cell": 0.00,
  "dos_ef_per_ev_fu": 1.70,
  "volume_a3_per_atom": 20.8,
  "lattice": [[5.516, 0.000, 0.000], [0.000, 4.791, 0.000], [0.000, 0.000, 9.434]],
  "species": ["Li", "Li", "Li", "Li", "Li", "Li", "Li", "Li", "Sb", "Sb", "Pd", "Pd"],
  "fractional_positions": [[0.318, 0.509, 0.000], [0.806, 0.492, 0.000], [0.312, 0.079, 0.750], [0.812, 0.921, 0.750], [0.306, 0.508, 0.500], [0.818, 0.491, 0.500], [0.812, 0.921, 0.250], [0.312, 0.079, 0.250], [0.062, 0.001, 0.000], [0.562, 0.999, 0.500], [0.562, 0.001, 0.000], [0.062, 0.999, 0.500]]
}

## two
{
  "formula": "Li4SbPd",
  "functional": "PBE",
  "state": "relaxed",
  "magmom_total_mub_per_cell": 0.00,
  "dos_ef_per_ev_fu": 1.36,
  "volume_a3_per_atom": 15.9,
  "lattice": [[4.527, -0.001, 0.000], [0.001, 5.079, 1.835], [-0.001, -0.127, 8.249]],
  "species": ["Li", "Li", "Li", "Li", "Li", "Li", "Li", "Li", "Sb", "Sb", "Pd", "Pd"],
  "fractional_positions": [[0.250, 0.797, 0.416], [0.250, 0.960, 0.086], [0.750, 0.713, 0.584], [0.750, 0.545, 0.915], [0.750, 0.203, 0.584], [0.250, 0.287, 0.416], [0.750, 0.040, 0.914], [0.250, 0.455, 0.085], [0.750, 0.629, 0.242], [0.250, 0.371, 0.758], [0.750, 0.118, 0.264], [0.250, 0.882, 0.736]]
}

The data favor two; the next most stable structure lies 121 meV per atom above it.

## one
{
  "formula": "Li2ScPd3",
  "functional": "PBE",
  "state": "relaxed",
  "magmom_total_mub_per_cell": 0.00,
  "dos_ef_per_ev_fu": 2.55,
  "volume_a3_per_atom": 15.1,
  "lattice": [[-3.019, -1.644, -2.757], [4.233, 0.162, -1.211], [0.780, -4.906, 2.071]],
  "species": ["Li", "Li", "Sc", "Pd", "Pd", "Pd"],
  "fractional_positions": [[0.667, 0.333, 0.338], [0.333, 0.667, 0.662], [0.000, 0.000, 0.000], [0.000, 0.000, 0.500], [0.667, 0.333, 0.820], [0.333, 0.667, 0.180]]
}

## two
{
  "formula": "Li2ScPd3",
  "functional": "PBE",
  "state": "relaxed",
  "magmom_total_mub_per_cell": 0.00,
  "dos_ef_per_ev_fu": 1.65,
  "volume_a3_per_atom": 15.1,
  "lattice": [[-2.554, -2.527, 2.306], [-1.030, -5.698, -3.433], [5.322, -2.718, 2.915]],
  "species": ["Li", "Li", "Li", "Li", "Sc", "Sc", "Pd", "Pd", "Pd", "Pd", "Pd", "Pd"],
  "fractional_positions": [[0.000, 0.000, 0.000], [0.000, 0.000, 0.500], [0.330, 0.340, 0.500], [0.670, 0.660, 0.500], [0.344, 0.312, 0.000], [0.656, 0.688, 0.000], [0.834, 0.331, 0.741], [0.500, 0.000, 0.270], [0.166, 0.669, 0.259], [0.834, 0.331, 0.259], [0.166, 0.669, 0.741], [0.500, 0.000, 0.730]]
}

The data favor two; the next most stable structure lies 10 meV per atom above it.

## one
{
  "formula": "Li2ScPd",
  "functional": "PBE",
  "state": "relaxed",
  "magmom_total_mub_per_cell": 0.00,
  "dos_ef_per_ev_fu": 2.14,
  "volume_a3_per_atom": 18.2,
  "lattice": [[-0.247, 2.957, 2.345], [-3.748, -0.470, 0.198], [-0.796, -4.987, 9.255]],
  "species": ["Sc", "Sc", "Pd", "Pd", "Li", "Li", "Li", "Li"],
  "fractional_positions": [[0.500, 0.500, 0.000], [0.250, 0.750, 0.500], [0.000, 0.000, 0.000], [0.750, 0.250, 0.500], [0.086, 0.125, 0.250], [0.664, 0.625, 0.250], [0.375, 0.914, 0.750], [0.875, 0.336, 0.750]]
}

## two
{
  "formula": "Li2ScPd",
  "functional": "PBE",
  "state": "relaxed",
  "magmom_total_mub_per_cell": 0.00,
  "dos_ef_per_ev_fu": 5.94,
  "volume_a3_per_atom": 15.9,
  "lattice": [[0.000, 3.168, 3.168], [3.168, 0.000, 3.168], [3.168, 3.168, 0.000]],
  "species": ["Sc", "Pd", "Li", "Li"],
  "fractional_positions": [[0.000, 0.000, 0.000], [0.500, 0.500, 0.500], [0.250, 0.250, 0.250], [0.750, 0.750, 0.750]]
}

The data favor one; the next most stable structure lies 45 meV per atom above it.

## one
{
  "formula": "Li2ScPd8",
  "functional": "PBE",
  "state": "relaxed",
  "magmom_total_mub_per_cell": 0.00,
  "dos_ef_per_ev_fu": 9.18,
  "volume_a3_per_atom": 15.3,
  "lattice": [[3.980, 0.000, 0.000], [0.000, 6.258, 0.294], [-1.990, -2.347, 6.634]],
  "species": ["Li", "Li", "Sc", "Pd", "Pd", "Pd", "Pd", "Pd", "Pd", "Pd", "Pd"],
  "fractional_positions": [[0.773, 0.354, 0.545], [0.227, 0.646, 0.455], [0.500, 0.000, 0.000], [0.405, 0.540, 0.810], [0.682, 0.916, 0.365], [0.860, 0.807, 0.719], [0.954, 0.273, 0.908], [0.140, 0.193, 0.281], [0.318, 0.084, 0.635], [0.595, 0.460, 0.190], [0.046, 0.727, 0.092]]
}

## two
{
  "formula": "Li2ScPd8",
  "functional": "PBE",
  "state": "relaxed",
  "magmom_total_mub_per_cell": 0.00,
  "dos_ef_per_ev_fu": 7.56,
  "volume_a3_per_atom": 15.6,
  "lattice": [[-3.536, 1.317, 1.719], [-0.937, -5.942, 2.610], [3.431, 3.389, 4.444]],
  "species": ["Li", "Li", "Sc", "Pd", "Pd", "Pd", "Pd", "Pd", "Pd", "Pd", "Pd"],
  "fractional_positions": [[0.000, 0.619, 0.381], [0.000, 0.381, 0.619], [0.500, 0.000, 0.000], [0.999, 0.957, 0.688], [0.999, 0.688, 0.957], [0.499, 0.669, 0.669], [0.500, 0.261, 0.739], [0.500, 0.739, 0.261], [0.501, 0.331, 0.331], [0.001, 0.312, 0.043], [0.001, 0.043, 0.312]]
}

The data favor one; the next most stable structure lies 146 meV per atom above it.

## one
{
  "formula": "LiScPd4",
  "functional": "PBE",
  "state": "relaxed",
  "magmom_total_mub_per_cell": 0.00,
  "dos_ef_per_ev_fu": 1.94,
  "volume_a3_per_atom": 15.5,
  "lattice": [[-3.061, 2.754, 0.389], [-3.070, -6.356, -1.153], [5.700, 5.249, 7.701]],
  "species": ["Li", "Li", "Sc", "Sc", "Pd", "Pd", "Pd", "Pd", "Pd", "Pd", "Pd", "Pd"],
  "fractional_positions": [[0.500, 0.500, 0.000], [0.000, 0.500, 0.500], [0.250, 0.000, 0.250], [0.750, 0.000, 0.750], [0.000, 0.499, 0.160], [0.500, 0.501, 0.340], [0.000, 0.501, 0.840], [0.500, 0.499, 0.660], [0.250, 0.000, 0.591], [0.250, 0.000, 0.909], [0.750, 0.000, 0.409], [0.750, 0.000, 0.091]]
}

## two
{
  "formula": "LiScPd4",
  "functional": "PBE",
  "state": "relaxed",
  "magmom_total_mub_per_cell": 0.00,
  "dos_ef_per_ev_fu": 2.06,
  "volume_a3_per_atom": 15.7,
  "lattice": [[3.638, 0.000, 1.052], [2.052, 4.515, -0.278], [0.203, -1.705, 6.112]],
  "species": ["Li", "Sc", "Pd", "Pd", "Pd", "Pd"],
  "fractional_positions": [[0.000, 0.000, 0.000], [0.500, 0.500, 0.500], [0.829, 0.510, 0.833], [0.339, 0.999, 0.322], [0.171, 0.490, 0.167], [0.661, 0.001, 0.678]]
}

## three
{
  "formula": "LiScPd4",
  "functional": "PBE",
  "state": "relaxed",
  "magmom_total_mub_per_cell": 0.00,
  "dos_ef_per_ev_fu": 3.20,
  "volume_a3_per_atom": 17.2,
  "lattice": [[-4.251, 1.669, -2.611], [-4.502, -2.705, 0.300], [-4.094, 1.990, 2.637]],
  "species": ["Sc", "Pd", "Pd", "Pd", "Pd", "Li"],
  "fractional_positions": [[0.000, 0.000, 0.000], [0.625, 0.625, 0.125], [0.625, 0.125, 0.625], [0.625, 0.625, 0.625], [0.125, 0.625, 0.625], [0.250, 0.250, 0.250]]
}

The data favor two; the next most stable structure lies 12 meV per atom above it.

## one
{
  "formula": "LiScPd6",
  "functional": "PBE",
  "state": "relaxed",
  "magmom_total_mub_per_cell": 0.00,
  "dos_ef_per_ev_fu": 9.72,
  "volume_a3_per_atom": 15.5,
  "lattice": [[-1.707, -1.933, 3.032], [0.887, -3.479, -1.718], [6.849, -0.120, 3.779]],
  "species": ["Li", "Sc", "Pd", "Pd", "Pd", "Pd", "Pd", "Pd"],
  "fractional_positions": [[0.000, 0.000, 0.500], [0.000, 0.000, 0.000], [0.500, 0.500, 0.000], [0.500, 0.500, 0.500], [0.500, 0.000, 0.255], [0.500, 0.000, 0.745], [0.000, 0.500, 0.255], [0.000, 0.500, 0.745]]
}

## two
{
  "formula": "LiScPd6",
  "functional": "PBE",
  "state": "relaxed",
  "magmom_total_mub_per_cell": 0.00,
  "dos_ef_per_ev_fu": 5.54,
  "volume_a3_per_atom": 16.3,
  "lattice": [[6.868, 0.367, -0.248], [3.732, 6.499, -0.080], [3.425, 2.399, 2.908]],
  "species": ["Li", "Sc", "Pd", "Pd", "Pd", "Pd", "Pd", "Pd"],
  "fractional_positions": [[0.500, 0.500, 0.500], [0.000, 0.000, 0.000], [0.947, 0.457, 0.847], [0.748, 0.947, 0.762], [0.456, 0.251, 0.347], [0.252, 0.053, 0.238], [0.053, 0.543, 0.153], [0.544, 0.749, 0.653]]
}

The data favor one; the next most stable structure lies 128 meV per atom above it.

## one
{
  "formula": "LiPdSe",
  "functional": "PBE",
  "state": "relaxed",
  "magmom_total_mub_per_cell": 0.00,
  "dos_ef_per_ev_fu": 1.56,
  "volume_a3_per_atom": 24.1,
  "lattice": [[4.618, 0.000, 0.000], [0.000, 4.618, 0.000], [-2.309, -2.309, 6.773]],
  "species": ["Se", "Se", "Pd", "Pd", "Li", "Li"],
  "fractional_positions": [[0.752, 0.752, 0.504], [0.002, 0.502, 0.004], [0.187, 0.687, 0.373], [0.937, 0.937, 0.873], [0.561, 0.561, 0.123], [0.811, 0.311, 0.623]]
}

## two
{
  "formula": "LiPdSe",
  "functional": "PBE",
  "state": "relaxed",
  "magmom_total_mub_per_cell": 0.00,
  "dos_ef_per_ev_fu": 1.68,
  "volume_a3_per_atom": 17.6,
  "lattice": [[-4.118, 0.654, -0.614], [-1.928, -1.699, -3.341], [-2.738, -3.161, 0.528]],
  "species": ["Se", "Pd", "Li"],
  "fractional_positions": [[0.000, 0.000, 0.000], [0.250, 0.250, 0.250], [0.500, 0.500, 0.500]]
}

The data favor two; the next most stable structure lies 119 meV per atom above it.

## one
{
  "formula": "LiPd3Se",
  "functional": "PBE",
  "state": "relaxed",
  "magmom_total_mub_per_cell": 0.00,
  "dos_ef_per_ev_fu": 2.36,
  "volume_a3_per_atom": 15.5,
  "lattice": [[5.040, 0.000, -1.701], [0.000, 7.359, 0.000], [-1.760, 0.000, 8.944]],
  "species": ["Li", "Li", "Li", "Li", "Pd", "Pd", "Pd", "Pd", "Pd", "Pd", "Pd", "Pd", "Pd", "Pd", "Pd", "Pd", "Se", "Se", "Se", "Se"],
  "fractional_positions": [[0.420, 0.254, 0.843], [0.580, 0.746, 0.157], [0.580, 0.754, 0.657], [0.420, 0.246, 0.343], [0.109, 0.919, 0.665], [0.891, 0.081, 0.335], [0.891, 0.419, 0.835], [0.109, 0.581, 0.165], [0.282, 0.442, 0.530], [0.718, 0.558, 0.470], [0.718, 0.942, 0.970], [0.282, 0.058, 0.030], [0.427, 0.893, 0.357], [0.573, 0.107, 0.643], [0.573, 0.393, 0.143], [0.427, 0.607, 0.857], [0.065, 0.744, 0.408], [0.935, 0.256, 0.592], [0.935, 0.244, 0.092], [0.065, 0.756, 0.908]]
}

## two
{
  "formula": "LiPd3Se",
  "functional": "PBE",
  "state": "relaxed",
  "magmom_total_mub_per_cell": 0.00,
  "dos_ef_per_ev_fu": 2.50,
  "volume_a3_per_atom": 20.9,
  "lattice": [[4.711, 0.000, 0.000], [0.000, 4.711, 0.000], [0.000, 0.000, 4.711]],
  "species": ["Se", "Pd", "Pd", "Pd", "Li"],
  "fractional_positions": [[0.000, 0.000, 0.000], [0.000, 0.500, 0.000], [0.000, 0.000, 0.500], [0.500, 0.000, 0.000], [0.500, 0.500, 0.500]]
}

The data favor one; the next most stable structure lies 230 meV per atom above it.

## one
{
  "formula": "LiPdSe3",
  "functional": "PBE",
  "state": "relaxed",
  "magmom_total_mub_per_cell": 0.00,
  "dos_ef_per_ev_fu": 3.34,
  "volume_a3_per_atom": 23.4,
  "lattice": [[5.007, 0.509, 1.359], [1.166, 4.896, 1.359], [0.581, 0.509, 5.155]],
  "species": ["Li", "Pd", "Se", "Se", "Se"],
  "fractional_positions": [[0.840, 0.840, 0.840], [0.195, 0.195, 0.195], [0.694, 0.198, 0.198], [0.198, 0.694, 0.198], [0.198, 0.198, 0.694]]
}

## two
{
  "formula": "LiPdSe3",
  "functional": "PBE",
  "state": "relaxed",
  "magmom_total_mub_per_cell": 0.00,
  "dos_ef_per_ev_fu": 5.97,
  "volume_a3_per_atom": 25.0,
  "lattice": [[5.003, 0.000, 0.000], [0.000, 5.003, 0.000], [0.000, 0.000, 5.003]],
  "species": ["Se", "Se", "Se", "Pd", "Li"],
  "fractional_positions": [[0.000, 0.500, 0.000], [0.000, 0.000, 0.500], [0.500, 0.000, 0.000], [0.000, 0.000, 0.000], [0.500, 0.500, 0.500]]
}

The data favor one; the next most stable structure lies 261 meV per atom above it.

## one
{
  "formula": "Li3SiPd6",
  "functional": "PBE",
  "state": "relaxed",
  "magmom_total_mub_per_cell": 0.00,
  "dos_ef_per_ev_fu": 3.43,
  "volume_a3_per_atom": 15.7,
  "lattice": [[6.789, 0.171, 0.174], [0.023, 6.791, 0.174], [0.023, 0.024, 6.793]],
  "species": ["Li", "Li", "Li", "Li", "Li", "Li", "Si", "Si", "Pd", "Pd", "Pd", "Pd", "Pd", "Pd", "Pd", "Pd", "Pd", "Pd", "Pd", "Pd"],
  "fractional_positions": [[0.604, 0.843, 0.953], [0.843, 0.953, 0.604], [0.047, 0.396, 0.157], [0.953, 0.604, 0.843], [0.157, 0.047, 0.396], [0.396, 0.157, 0.047], [0.000, 0.000, 0.000], [0.500, 0.500, 0.500], [0.257, 0.768, 0.123], [0.232, 0.877, 0.743], [0.516, 0.831, 0.407], [0.877, 0.743, 0.232], [0.407, 0.516, 0.831], [0.169, 0.593, 0.484], [0.831, 0.407, 0.516], [0.593, 0.484, 0.169], [0.123, 0.257, 0.768], [0.484, 0.169, 0.593], [0.768, 0.123, 0.257], [0.743, 0.232, 0.877]]
}

## two
{
  "formula": "Li3SiPd6",
  "functional": "PBE",
  "state": "relaxed",
  "magmom_total_mub_per_cell": 0.00,
  "dos_ef_per_ev_fu": 2.52,
  "volume_a3_per_atom": 14.0,
  "lattice": [[-3.367, 2.808, -0.295], [-2.545, -2.380, 6.390], [5.740, 7.049, 1.582]],
  "species": ["Li", "Li", "Li", "Li", "Li", "Li", "Si", "Si", "Pd", "Pd", "Pd", "Pd", "Pd", "Pd", "Pd", "Pd", "Pd", "Pd", "Pd", "Pd"],
  "fractional_positions": [[0.250, 0.528, 0.380], [0.750, 0.472, 0.620], [0.250, 0.377, 0.795], [0.750, 0.623, 0.205], [0.250, 0.776, 0.980], [0.750, 0.224, 0.020], [0.250, 0.947, 0.599], [0.750, 0.053, 0.401], [0.250, 0.466, 0.087], [0.750, 0.534, 0.913], [0.250, 0.150, 0.180], [0.750, 0.850, 0.820], [0.250, 0.657, 0.670], [0.750, 0.343, 0.330], [0.250, 0.236, 0.503], [0.750, 0.764, 0.497], [0.250, 0.850, 0.316], [0.750, 0.150, 0.684], [0.250, 0.080, 0.869], [0.750, 0.920, 0.131]]
}

The data favor two; the next most stable structure lies 66 meV per atom above it.

## one
{
  "formula": "Li2SiPd6",
  "functional": "PBE",
  "state": "relaxed",
  "magmom_total_mub_per_cell": 0.00,
  "dos_ef_per_ev_fu": 2.79,
  "volume_a3_per_atom": 16.0,
  "lattice": [[5.016, -0.015, -0.009], [0.039, 5.766, 0.014], [0.039, 2.885, 4.993]],
  "species": ["Li", "Li", "Si", "Pd", "Pd", "Pd", "Pd", "Pd", "Pd"],
  "fractional_positions": [[0.805, 0.666, 0.666], [0.195, 0.334, 0.334], [0.000, 0.000, 0.000], [0.287, 0.351, 0.825], [0.287, 0.824, 0.824], [0.287, 0.825, 0.351], [0.713, 0.649, 0.175], [0.713, 0.176, 0.176], [0.713, 0.175, 0.649]]
}

## two
{
  "formula": "Li2SiPd6",
  "functional": "PBE",
  "state": "relaxed",
  "magmom_total_mub_per_cell": 0.00,
  "dos_ef_per_ev_fu": 2.00,
  "volume_a3_per_atom": 14.3,
  "lattice": [[2.858, 0.000, 0.000], [0.000, 6.601, -3.040], [0.000, -0.711, 7.143]],
  "species": ["Li", "Li", "Si", "Pd", "Pd", "Pd", "Pd", "Pd", "Pd"],
  "fractional_positions": [[0.000, 0.331, 0.665], [0.000, 0.666, 0.335], [0.500, 0.007, 0.000], [0.500, 0.614, 0.000], [0.500, 0.383, 0.385], [0.500, 0.998, 0.615], [0.000, 0.275, 0.000], [0.000, 0.730, 0.732], [0.000, 0.997, 0.268]]
}

The data favor two; the next most stable structure lies 82 meV per atom above it.